First-principles (PBE) data for Nd2Ni12P3Pd after structural relaxation, as listed in Alexandria via LeMat-Bulk.

The calculated formation energy is -0.023 eV per atom. The calculation puts the raw total energy at -5.60 eV/atom. The density of states at the Fermi level is 0.563 states/eV per atom.

It has space group R-3m (No. 166, hexagonal axes), with a = 8.3453 Å, b = 8.3453 Å, c = 13.0285 Å, α = 90.00°, β = 90.00° and γ = 120.00°. The asymmetric unit holds Nd at (0.0000, 0.0000, 0.1216), Ni at (0.0046, 0.5023, 0.8389), Ni at (0.0456, 0.5228, 0.3560), P at (0.0000, 0.5000, 0.0000) and Pd at (0.0000, 0.0000, 0.5000).

***

First-principles (PBE) data for GaFeIr2 after structural relaxation, as listed in Alexandria via LeMat-Bulk.

The calculated formation energy is -0.207 eV per atom. The calculation puts the raw total energy at -7.51 eV/atom. The density of states at the Fermi level is 0.632 states/eV per atom.

It has space group P4/mmm (No. 123), with a = 3.022 Å, b = 3.022 Å, c = 6.107 Å, α = 90.00°, β = 90.00° and γ = 90.00°. The asymmetric unit holds Ga at (0.000, 0.000, 0.000), Fe at (0.000, 0.000, 0.500) and Ir at (0.500, 0.500, 0.249).

***

First-principles (PBE) data for K2UAg2Te6 after structural relaxation, as listed in Alexandria via LeMat-Bulk.

The calculation puts the raw total energy at -3.87 eV/atom. The density of states at the Fermi level is 0.388 states/eV per atom. The calculation puts the formation energy (no corrections) at -0.415 eV/atom.

It has space group C2/m (No. 12), with a = 13.205 Å, b = 8.894 Å, c = 6.905 Å, α = 90.00°, β = 101.15° and γ = 90.00°. The asymmetric unit holds K at (0.247, 0.000, 0.047), U at (0.000, 0.000, 0.500), Ag at (0.067, 0.500, 0.346), Te at (0.046, 0.247, 0.822) and Te at (0.221, 0.000, 0.529).

***

First-principles (PBE) data for Pm3Tl2Cd2 after structural relaxation, as listed in Alexandria via LeMat-Bulk.

The calculated formation energy is -0.327 eV per atom. The calculation puts the raw total energy at -3.30 eV/atom. The density of states at the Fermi level is 0.943 states/eV per atom.

It has space group Cmmm (No. 65), with a = 4.850 Å, b = 22.977 Å, c = 3.454 Å, α = 90.00°, β = 90.00° and γ = 90.00°. The asymmetric unit holds Pm at (0.000, 0.000, 0.000), Pm at (0.000, 0.155, 0.000), Tl at (0.000, 0.422, 0.500) and Cd at (0.000, 0.283, 0.500).

***

First-principles (PBE) data for Ti2BeB after structural relaxation, as listed in Alexandria via LeMat-Bulk.

The calculated formation energy is 0.211 eV per atom. The calculation puts the raw total energy at -6.34 eV/atom. The density of states at the Fermi level is 1.042 states/eV per atom. The energy above the most stable polymorph in this dataset is 372 meV/atom.

It has space group I-42d (No. 122), with a = 6.306 Å, b = 6.306 Å, c = 5.085 Å, α = 90.00°, β = 90.00° and γ = 90.00°. The asymmetric unit holds Ti at (0.225, 0.750, 0.125), Be at (0.000, 0.000, 0.500) and B at (0.000, 0.000, 0.000).

***

First-principles (PBE) data for Mn3TcBr after structural relaxation, as listed in Alexandria via LeMat-Bulk.

The calculation puts the raw total energy at -6.80 eV/atom. The density of states at the Fermi level is 0.979 states/eV per atom. The calculation puts the formation energy (no corrections) at 1.114 eV/atom.

It has space group Pm-3m (No. 221), with a = 4.829 Å, b = 4.829 Å, c = 4.829 Å, α = 90.00°, β = 90.00° and γ = 90.00°. The asymmetric unit holds Mn at (0.000, 0.000, 0.500), Tc at (0.000, 0.000, 0.000) and Br at (0.500, 0.500, 0.500).

***

First-principles (PBE) data for BaNa2AsO4 after structural relaxation, as listed in Alexandria via LeMat-Bulk.

The calculation puts the raw total energy at -5.29 eV/atom. The density of states at the Fermi level is 0.217 states/eV per atom. The calculation puts the formation energy (no corrections) at -1.658 eV/atom.

It has space group I-4 (No. 82), with a = 5.480 Å, b = 5.480 Å, c = 9.954 Å, α = 90.00°, β = 90.00° and γ = 90.00°. The asymmetric unit holds Ba at (0.000, 0.000, 0.000), Na at (0.000, 0.000, 0.500), Na at (0.000, 0.500, 0.750), As at (0.000, 0.500, 0.250) and O at (0.178, 0.286, 0.349).

***

First-principles (PBE) data for CaNiS2N after structural relaxation, as listed in Alexandria via LeMat-Bulk.

The calculation puts the raw total energy at -3.69 eV/atom. The density of states at the Fermi level is 1.854 states/eV per atom. The energy above the most stable polymorph in this dataset is 1478 meV/atom. The calculation puts the formation energy (no corrections) at 1.183 eV/atom.

It has space group P4/mmm (No. 123), with a = 5.244 Å, b = 5.244 Å, c = 4.454 Å, α = 90.00°, β = 90.00° and γ = 90.00°. The asymmetric unit holds Ca at (0.000, 0.000, 0.000), Ni at (0.500, 0.500, 0.500), S at (0.000, 0.500, 0.000) and N at (0.000, 0.000, 0.500).

***

First-principles (PBE) data for Sb3PH after structural relaxation, as listed in Alexandria via LeMat-Bulk.

The calculation puts the raw total energy at -3.55 eV/atom. The density of states at the Fermi level is 0.444 states/eV per atom.

It has space group Pm-3m (No. 221), with a = 4.655 Å, b = 4.655 Å, c = 4.655 Å, α = 90.00°, β = 90.00° and γ = 90.00°. The asymmetric unit holds Sb at (0.000, 0.000, 0.500), P at (0.500, 0.500, 0.500) and H at (0.000, 0.000, 0.000).

***

First-principles (PBE) data for YSb4Os after structural relaxation, as listed in Alexandria via LeMat-Bulk.

The calculation puts the raw total energy at -4.98 eV/atom. The density of states at the Fermi level is 0.848 states/eV per atom. The calculation puts the formation energy (no corrections) at 0.721 eV/atom.

It has space group F-43m (No. 216), with a = 8.568 Å, b = 8.568 Å, c = 8.568 Å, α = 90.00°, β = 90.00° and γ = 90.00°. The asymmetric unit holds Y at (0.000, 0.000, 0.000), Sb at (0.124, 0.124, 0.376) and Os at (0.250, 0.250, 0.750).

***

First-principles (PBE) data for Y4ZnAg3 after structural relaxation, as listed in Alexandria via LeMat-Bulk.

The calculated formation energy is -0.294 eV per atom. The calculation puts the raw total energy at -4.75 eV/atom. The density of states at the Fermi level is 1.125 states/eV per atom. The energy above the most stable polymorph in this dataset is 47 meV/atom.

It has space group Pmm2 (No. 25), with a = 3.713 Å, b = 4.761 Å, c = 11.151 Å, α = 90.00°, β = 90.00° and γ = 90.00°. The asymmetric unit holds Y at (0.000, 0.000, 0.000), Y at (0.000, 0.500, 0.287), Y at (0.500, 0.000, 0.496), Y at (0.500, 0.500, 0.787), Zn at (0.500, 0.000, 0.222), Ag at (0.000, 0.000, 0.723), Ag at (0.000, 0.500, 0.564) and Ag at (0.500, 0.500, 0.068).

***

First-principles (PBE) data for La3SnAsBr after structural relaxation, as listed in Alexandria via LeMat-Bulk.

The calculation puts the raw total energy at -5.42 eV/atom. The density of states at the Fermi level is 0.679 states/eV per atom. The calculation puts the formation energy (no corrections) at -1.232 eV/atom.

It has space group P2_1/m (No. 11), with a = 7.729 Å, b = 4.398 Å, c = 11.722 Å, α = 90.00°, β = 102.29° and γ = 90.00°. The asymmetric unit holds La at (0.042, 0.250, 0.155), La at (0.220, 0.750, 0.505), La at (0.451, 0.750, 0.853), Sn at (0.150, 0.250, 0.694), As at (0.267, 0.750, 0.062) and Br at (0.375, 0.250, 0.366).